# Pu2HfGaN5, optimized geometry, DFT PBE
# Uncorrected formation energy, eV/atom: -1.004
data_Pu2HfGaN5
_chemical_formula_sum 'Pu8 Hf4 Ga4 N20'
_cell_length_a 3.291
_cell_length_b 13.531
_cell_length_c 10.207
_cell_angle_alpha 90.00
_cell_angle_beta 90.00
_cell_angle_gamma 90.00
_symmetry_space_group_name_H-M 'C m c 21'
_symmetry_Int_Tables_number 36
loop_
_symmetry_equiv_pos_as_xyz
'x,y,z'
'-x,-y,z+1/2'
'-x,y,z'
'x,-y,z+1/2'
'x+1/2,y+1/2,z'
'-x+1/2,-y+1/2,z+1/2'
'-x+1/2,y+1/2,z'
'x+1/2,-y+1/2,z+1/2'
loop_
_atom_site_label
_atom_site_fract_x
_atom_site_fract_y
_atom_site_fract_z
_atom_site_occupancy
Pu1 0.000 0.124 0.000 1
Pu2 0.000 0.129 0.585 1
Hf1 0.000 0.211 0.302 1
Ga1 0.000 0.491 0.786 1
N1 0.000 0.055 0.363 1
N2 0.000 0.289 0.958 1
N3 0.000 0.301 0.663 1
N4 0.000 0.365 0.333 1
N5 0.000 0.492 0.093 1

# KMo2W, optimized geometry, DFT PBE
# Energy above the most stable polymorph in this dataset, eV/f.u.: 0.81
# ΔH_f (0 K), eV per atom: 0.951
data_KMo2W
_chemical_formula_sum 'K1 Mo2 W1'
_cell_length_a 2.678
_cell_length_b 2.678
_cell_length_c 10.925
_cell_angle_alpha 90.00
_cell_angle_beta 90.00
_cell_angle_gamma 90.00
_symmetry_space_group_name_H-M 'P 4/m m m'
_symmetry_Int_Tables_number 123
_symmetry_space_group_name_Hall '-P 4 2'
loop_
_atom_site_label
_atom_site_fract_x
_atom_site_fract_y
_atom_site_fract_z
_atom_site_occupancy
K1 0.000 0.000 0.000 1
Mo1 0.500 0.500 0.292 1
W1 0.000 0.000 0.500 1

# Ba11NaRh2, optimized geometry, DFT PBE
# ΔH_f (0 K), eV per atom: -0.006
data_Ba11NaRh2
_chemical_formula_sum 'Ba44 Na4 Rh8'
_cell_length_a 13.893
_cell_length_b 15.595
_cell_length_c 15.348
_cell_angle_alpha 90.00
_cell_angle_beta 90.00
_cell_angle_gamma 90.00
_symmetry_space_group_name_H-M 'I b a m'
_symmetry_Int_Tables_number 72
_symmetry_space_group_name_Hall '-I 2 2c'
loop_
_atom_site_label
_atom_site_fract_x
_atom_site_fract_y
_atom_site_fract_z
_atom_site_occupancy
Ba1 0.000 0.000 0.000 1
Ba2 0.100 0.341 0.000 1
Ba3 0.125 0.191 0.351 1
Ba4 0.244 0.438 0.372 1
Na1 0.000 0.500 0.250 1
Rh1 0.204 0.076 0.500 1

# PrCu2Ni, optimized geometry, DFT PBE
# ΔH_f (0 K), eV per atom: -0.191
data_PrCu2Ni
_chemical_formula_sum 'Pr3 Cu6 Ni3'
_cell_length_a 4.1626
_cell_length_b 4.1626
_cell_length_c 14.3257
_cell_angle_alpha 90.00
_cell_angle_beta 90.00
_cell_angle_gamma 120.00
_symmetry_space_group_name_H-M 'R 3 m'
_symmetry_Int_Tables_number 160
_symmetry_space_group_name_Hall 'R 3 -2"'
loop_
_atom_site_label
_atom_site_fract_x
_atom_site_fract_y
_atom_site_fract_z
_atom_site_occupancy
Pr1 0.0000 0.0000 0.0000 1
Cu1 0.0000 0.0000 0.1999 1
Cu2 0.0000 0.0000 0.4930 1
Ni1 0.0000 0.0000 0.7980 1

# NdDy8Ho6, optimized geometry, DFT PBE
# ΔH_f (0 K), eV per atom: 0.134
data_NdDy8Ho6
_chemical_formula_sum 'Nd3 Dy24 Ho18'
_cell_length_a 9.0028
_cell_length_b 9.0028
_cell_length_c 20.5308
_cell_angle_alpha 90.00
_cell_angle_beta 90.00
_cell_angle_gamma 120.00
_symmetry_space_group_name_H-M 'R -3'
_symmetry_Int_Tables_number 148
_symmetry_space_group_name_Hall '-R 3'
loop_
_atom_site_label
_atom_site_fract_x
_atom_site_fract_y
_atom_site_fract_z
_atom_site_occupancy
Nd1 0.0000 0.0000 0.0000 1
Dy1 0.0000 0.0000 0.4234 1
Dy2 0.0810 0.5528 0.8082 1
Ho1 0.0584 0.2449 0.7071 1

# V2HOsAu, optimized geometry, DFT PBE
# Energy above the most stable polymorph in this dataset, eV/f.u.: 0.00
data_V2HOsAu
_chemical_formula_sum 'V2 H1 Os1 Au1'
_cell_length_a 3.922
_cell_length_b 3.922
_cell_length_c 3.886
_cell_angle_alpha 90.00
_cell_angle_beta 90.00
_cell_angle_gamma 90.00
_symmetry_space_group_name_H-M 'P 4/m m m'
_symmetry_Int_Tables_number 123
_symmetry_space_group_name_Hall '-P 4 2'
loop_
_atom_site_label
_atom_site_fract_x
_atom_site_fract_y
_atom_site_fract_z
_atom_site_occupancy
V1 0.000 0.500 0.000 1
H1 0.000 0.000 0.000 1
Os1 0.000 0.000 0.500 1
Au1 0.500 0.500 0.500 1

# AcInH8Ru2, optimized geometry, DFT PBE
# Electronic total energy, eV for the cell shown: -109.6
data_AcInH8Ru2
_chemical_formula_sum 'Ac2 In2 H16 Ru4'
_cell_length_a 8.480
_cell_length_b 4.518
_cell_length_c 6.593
_cell_angle_alpha 90.00
_cell_angle_beta 112.57
_cell_angle_gamma 90.00
_symmetry_space_group_name_H-M 'C 1 2/m 1'
_symmetry_Int_Tables_number 12
loop_
_symmetry_equiv_pos_as_xyz
'x,y,z'
'-x,-y,-z'
'-x,y,-z'
'x,-y,z'
'x+1/2,y+1/2,z'
'-x+1/2,-y+1/2,-z'
'-x+1/2,y+1/2,-z'
'x+1/2,-y+1/2,z'
loop_
_atom_site_label
_atom_site_fract_x
_atom_site_fract_y
_atom_site_fract_z
_atom_site_occupancy
Ac1 0.000 0.000 0.000 1
In1 0.000 0.500 0.500 1
H1 0.080 0.500 0.185 1
H2 0.190 0.243 0.817 1
H3 0.209 0.000 0.385 1
Ru1 0.215 0.000 0.640 1

# YMg2GaPd4, optimized geometry, DFT PBE
# ΔH_f (0 K), eV per atom: -0.735
data_YMg2GaPd4
_chemical_formula_sum 'Y3 Mg6 Ga3 Pd12'
_cell_length_a 4.5849
_cell_length_b 4.5849
_cell_length_c 22.8543
_cell_angle_alpha 90.00
_cell_angle_beta 90.00
_cell_angle_gamma 120.00
_symmetry_space_group_name_H-M 'R -3 m'
_symmetry_Int_Tables_number 166
_symmetry_space_group_name_Hall '-R 3 2"'
loop_
_atom_site_label
_atom_site_fract_x
_atom_site_fract_y
_atom_site_fract_z
_atom_site_occupancy
Y1 0.0000 0.0000 0.0000 1
Mg1 0.0000 0.0000 0.2464 1
Ga1 0.0000 0.0000 0.5000 1
Pd1 0.0000 0.0000 0.1290 1
Pd2 0.0000 0.0000 0.3885 1